NbCoBiO5: relaxed, GGA+U.

a b c (Å): 5.9814 5.9814 7.8115
angles (deg): 108.14 108.14 99.51
With the nearest neighbours (Å) after each atom.
Fractional positions:
1 Bi 0.6762 0.3238 0.7500  4 O 2.20-2.42
2 Bi 0.3238 0.6762 0.2500  4 O 2.20-2.42
3 Nb 0.0000 0.0000 0.0000  6 O 1.99-2.03
4 Nb 0.0000 0.0000 0.5000  6 O 1.99-2.03
5 O 0.2862 0.3133 0.6408  1 Co 1.99, 1 Nb 2.03, 1 Bi 2.20
6 O 0.3133 0.2862 0.1408  1 Co 1.99, 1 Nb 2.03, 1 Bi 2.20
7 O 0.9594 0.0406 0.7500  2 Nb 1.99
8 O 0.2463 0.8073 0.5463  1 Co 1.96, 1 Nb 2.03
9 O 0.7537 0.1927 0.4537  1 Co 1.96, 1 Nb 2.03
10 O 0.8073 0.2463 0.0463  1 Co 1.96, 1 Nb 2.03
11 O 0.1927 0.7537 0.9537  1 Co 1.96, 1 Nb 2.03
12 O 0.0406 0.9594 0.2500  2 Nb 1.99
13 O 0.6867 0.7138 0.8592  1 Co 1.99, 1 Nb 2.03, 1 Bi 2.20
14 O 0.7138 0.6867 0.3592  1 Co 1.99, 1 Nb 2.03, 1 Bi 2.20
15 Co 0.6731 0.3269 0.2500  4 O 1.96-1.99
16 Co 0.3269 0.6731 0.7500  4 O 1.96-1.99

As for the uncorrected energy: -115.46 eV for the cell shown. For the total magnetic moment, the calculation gives 0.375 μB per atom.